# 1
Material: VInN2O
Method: DFT, GGA+U
State: optimized geometry

Unit cell a=4.151 b=4.151 c=4.054 alpha=90.00 beta=90.00 gamma=90.00
Fractional coordinates of all 5 atoms:
1 V 0.000 0.000 0.000
2 In 0.500 0.500 0.500
3 N 0.000 0.500 0.500
4 N 0.500 0.000 0.500
5 O 0.500 0.500 0.000

Computed properties:
* total moment: 1.1 Bohr magnetons per cell

# 2
Material: VInNO2
Method: DFT, GGA+U
State: optimized geometry

Unit cell a=4.168 b=4.168 c=4.169 alpha=90.00 beta=90.00 gamma=90.00
Fractional coordinates of all 5 atoms:
1 V 0.000 0.000 0.000
2 In 0.500 0.500 0.500
3 N 0.500 0.500 0.000
4 O 0.000 0.500 0.500
5 O 0.500 0.000 0.500

Computed properties:
* total moment: 1.1 Bohr magnetons per cell

Number 1: DFT total energy -4.9752 eV/atom. Number 2: DFT total energy -5.3735 eV/atom.